Record 1
Entry from Alexandria: a crystal of TiB2HI relaxed with PBEsol (SCAN).

CIF file:
```
data_TiB2HI
_cell_length_a 4.003
_cell_length_b 3.865
_cell_length_c 3.865
_cell_angle_alpha 90.00
_cell_angle_beta 90.00
_cell_angle_gamma 90.00
_space_group_name_H-M_alt 'P 1'
_space_group_IT_number 1
loop_
_space_group_symop_operation_xyz
'x,y,z'
loop_
_atom_site_label
_atom_site_type_symbol
_atom_site_fract_x
_atom_site_fract_y
_atom_site_fract_z
I1 I 0.500 0.000 0.000
Ti1 Ti 0.500 0.500 0.500
B1 B 0.000 0.000 0.500
B2 B 0.000 0.500 0.000
H1 H 0.000 0.000 0.000
```

Uncorrected energy, eV/atom: -12.594

Record 2
Entry from Alexandria: a crystal of YAg5 relaxed with PBEsol (SCAN).

CIF file:
```
data_YAg5
_cell_length_a 4.158
_cell_length_b 4.329
_cell_length_c 6.534
_cell_angle_alpha 70.66
_cell_angle_beta 90.00
_cell_angle_gamma 90.00
_space_group_name_H-M_alt 'P 1'
_space_group_IT_number 1
loop_
_space_group_symop_operation_xyz
'x,y,z'
loop_
_atom_site_label
_atom_site_type_symbol
_atom_site_fract_x
_atom_site_fract_y
_atom_site_fract_z
Ag1 Ag 0.000 0.330 0.340
Ag2 Ag 0.500 0.500 0.000
Ag3 Ag 0.500 0.174 0.652
Ag4 Ag 0.500 0.826 0.348
Ag5 Ag 0.000 0.670 0.660
Y1 Y 0.000 0.000 0.000
```

ΔE_f, meV per atom: -117
Uncorrected energy, eV/atom: -30.896

Record 3
Entry from Alexandria: a crystal of InPbN2 relaxed with PBEsol (SCAN).

CIF file:
```
data_InPbN2
_cell_length_a 4.319
_cell_length_b 4.319
_cell_length_c 4.319
_cell_angle_alpha 60.00
_cell_angle_beta 60.00
_cell_angle_gamma 60.00
_space_group_name_H-M_alt 'P 1'
_space_group_IT_number 1
loop_
_space_group_symop_operation_xyz
'x,y,z'
loop_
_atom_site_label
_atom_site_type_symbol
_atom_site_fract_x
_atom_site_fract_y
_atom_site_fract_z
N1 N 0.750 0.750 0.750
Pb1 Pb 0.500 0.500 0.500
In1 In 0.000 0.000 0.000
N2 N 0.250 0.250 0.250
```

Formation energy without anion corrections, meV per atom: 1378
Uncorrected energy, eV/atom: -30.559

Record 4
Entry from Alexandria: a crystal of SrTlCr relaxed with PBEsol (SCAN).

CIF file:
```
data_SrTlCr
_cell_length_a 3.787
_cell_length_b 3.787
_cell_length_c 6.218
_cell_angle_alpha 107.73
_cell_angle_beta 107.73
_cell_angle_gamma 90.00
_space_group_name_H-M_alt 'P 1'
_space_group_IT_number 1
loop_
_space_group_symop_operation_xyz
'x,y,z'
loop_
_atom_site_label
_atom_site_type_symbol
_atom_site_fract_x
_atom_site_fract_y
_atom_site_fract_z
Tl1 Tl 0.365 0.365 0.730
Cr1 Cr 0.966 0.966 0.933
Sr1 Sr 0.669 0.669 0.338
```

ΔE_f, meV per atom: -11
Uncorrected energy, eV/atom: -37.684

Record 5
Entry from Alexandria: a crystal of LiSiAg relaxed with PBEsol (SCAN).

CIF file:
```
data_LiSiAg
_cell_length_a 2.793
_cell_length_b 4.352
_cell_length_c 4.352
_cell_angle_alpha 120.00
_cell_angle_beta 90.00
_cell_angle_gamma 90.00
_space_group_name_H-M_alt 'P 1'
_space_group_IT_number 1
loop_
_space_group_symop_operation_xyz
'x,y,z'
loop_
_atom_site_label
_atom_site_type_symbol
_atom_site_fract_x
_atom_site_fract_y
_atom_site_fract_z
Li1 Li 0.000 0.667 0.333
Si1 Si 0.500 0.333 0.667
Ag1 Ag 0.500 0.000 0.000
```

Polymorph energy (0 for the lowest one), eV per atom: 0.000
Formation energy without anion corrections, meV per atom: -84
Uncorrected energy, eV/atom: -14.675

Record 6
Entry from Alexandria: a crystal of GaSi3Bi relaxed with PBEsol (SCAN).

CIF file:
```
data_GaSi3Bi
_cell_length_a 4.777
_cell_length_b 4.777
_cell_length_c 4.777
_cell_angle_alpha 90.00
_cell_angle_beta 90.00
_cell_angle_gamma 90.00
_space_group_name_H-M_alt 'P 1'
_space_group_IT_number 1
loop_
_space_group_symop_operation_xyz
'x,y,z'
loop_
_atom_site_label
_atom_site_type_symbol
_atom_site_fract_x
_atom_site_fract_y
_atom_site_fract_z
Si1 Si 0.500 0.000 0.000
Si2 Si 0.000 0.000 0.500
Si3 Si 0.000 0.500 0.000
Bi1 Bi 0.500 0.500 0.500
Ga1 Ga 0.000 0.000 0.000
```

Polymorph energy (0 for the lowest one), eV per atom: 0.000
Formation energy without anion corrections, meV per atom: 971
Uncorrected energy, eV/atom: -24.024

Record 7
Entry from Alexandria: a crystal of SrReSbTe2 relaxed with PBEsol (SCAN).

CIF file:
```
data_SrReSbTe2
_cell_length_a 5.883
_cell_length_b 5.888
_cell_length_c 5.888
_cell_angle_alpha 90.00
_cell_angle_beta 90.00
_cell_angle_gamma 90.00
_space_group_name_H-M_alt 'P 1'
_space_group_IT_number 1
loop_
_space_group_symop_operation_xyz
'x,y,z'
loop_
_atom_site_label
_atom_site_type_symbol
_atom_site_fract_x
_atom_site_fract_y
_atom_site_fract_z
Te1 Te 0.000 0.500 0.000
Sb1 Sb 0.500 0.000 0.000
Sr1 Sr 0.000 0.000 0.000
Re1 Re 0.500 0.500 0.500
Te2 Te 0.000 0.000 0.500
```

Formation energy without anion corrections, meV per atom: 1665
Uncorrected energy, eV/atom: -39.362

Record 8
Entry from Alexandria: a crystal of Ag2PRu relaxed with PBEsol (SCAN).

CIF file:
```
data_Ag2PRu
_cell_length_a 2.868
_cell_length_b 3.671
_cell_length_c 6.477
_cell_angle_alpha 106.46
_cell_angle_beta 102.79
_cell_angle_gamma 90.00
_space_group_name_H-M_alt 'P 1'
_space_group_IT_number 1
loop_
_space_group_symop_operation_xyz
'x,y,z'
loop_
_atom_site_label
_atom_site_type_symbol
_atom_site_fract_x
_atom_site_fract_y
_atom_site_fract_z
Ru1 Ru 0.000 0.500 0.000
Ag1 Ag 0.186 0.186 0.372
P1 P 0.500 0.000 0.000
Ag2 Ag 0.814 0.814 0.628
```

Polymorph energy (0 for the lowest one), eV per atom: 0.000
ΔE_f, meV per atom: 160
Uncorrected energy, eV/atom: -26.830